This record from Alexandria describes a geometry-optimized Th2H2Br structure. The functional is GGA-PBE.

Output
Energy   -47.71 eV for the cell shown
Space group   I4_1md, No. 109

Lattice parameters (Å, degrees): 6.4890 6.4890 7.0507 117.40 117.40 90.00
Fractional coordinates of all 10 atoms:
Th: 0.4473 0.6981 0.8945
Th: 0.4465 0.1973 0.3945
Th: 0.9481 0.1973 0.3945
Th: 0.4473 0.1965 0.8945
H: 0.6691 0.9128 0.3382
H: 0.6753 0.4191 0.8382
H: 0.1628 0.4191 0.8382
H: 0.6691 0.4253 0.3382
Br: 0.9480 0.9480 0.8959
Br: 0.1980 0.6980 0.3959